[1]
Density functional theory data (PBE) for crystalline LaSN2 at its relaxed geometry.

abc: 6.0618 6.0618 6.0618
angles: 38.35 38.35 38.35
Positions (direct):
N 0.1019 0.1019 0.1019
N 0.8981 0.8981 0.8981
S 0.0000 0.0000 0.0000
La 0.5000 0.5000 0.5000

Summary:
- ΔE_f (raw) (kJ/mol of atoms) = -8
- total DFT energy (no corrections) (eV per atom) = -6.51

---

[2]
Density functional theory data (PBE) for crystalline SrNi2BMo at its relaxed geometry.

abc: 4.4894 5.6994 4.4894
angles: 90.00 90.00 90.00
Positions (direct):
Sr 0.0000 0.5000 0.0000
Ni 0.0000 0.0000 0.5000
Mo 0.0000 0.0000 0.0000
Ni 0.5000 0.0000 0.0000
B 0.5000 0.5000 0.5000

Summary:
- DFT formation energy (meV per atom) = 1851
- total DFT energy (no corrections) (eV per atom) = -4.30

---

[3]
Density functional theory data (PBE) for crystalline ZnIn2Br at its relaxed geometry.

abc: 5.5271 5.5271 3.4764
angles: 87.53 87.53 89.24
Positions (direct):
In 0.5000 0.5000 0.0000
Zn 0.5000 0.0000 0.5000
In 0.0000 0.0000 0.0000
Br 0.0000 0.5000 0.5000

Summary:
- ΔE_f (raw) (kJ/mol of atoms) = -10
- total DFT energy (no corrections) (eV per atom) = -2.21
- ΔE to the lowest computed polymorph (meV/atom) = 38